No. 1
Na2Pt PBEsol optimized geometry; energy relative to the elements = 1.1 eV per formula unit
1.0
0.000 3.764 3.764
3.764 0.000 3.764
3.764 3.764 0.000
Na Pt
4 2
Direct
0.000 0.000 0.000 Na
0.000 0.000 0.500 Na
0.000 0.500 0.000 Na
0.500 0.000 0.000 Na
0.375 0.375 0.375 Pt
0.625 0.625 0.625 Pt

=====

No. 2
Cd3FePb PBEsol optimized geometry; energy relative to the elements = 2.6 eV per formula unit
1.0
4.952 0.000 0.000
0.000 4.952 0.000
0.000 0.000 4.952
Cd Fe Pb
3 1 1
Direct
0.000 0.000 0.500 Cd
0.000 0.500 0.000 Cd
0.500 0.000 0.000 Cd
0.000 0.000 0.000 Fe
0.500 0.500 0.500 Pb

=====

No. 3
CdTeRu2 PBEsol optimized geometry; formation energy (no corrections) = 0.651 eV/atom; excess energy over the best structure of this formula in the dataset = 306 meV/atom
1.0
2.990 -4.238 0.000
2.990 4.238 0.000
-1.289 0.000 2.705
Cd Te Ru
1 1 2
Direct
0.000 0.000 0.000 Cd
0.500 0.500 0.000 Te
0.000 0.500 0.500 Ru
0.500 0.000 0.500 Ru

=====

No. 4
AlTc3Br PBEsol optimized geometry; formation energy (no corrections) = 1.471 eV/atom
1.0
4.461 0.000 0.000
0.000 4.461 0.000
0.000 0.000 4.461
Al Tc Br
1 3 1
Direct
0.000 0.000 0.000 Al
0.000 0.500 0.500 Tc
0.500 0.000 0.500 Tc
0.500 0.500 0.000 Tc
0.500 0.500 0.500 Br

=====

Taking the records one at a time from the top gives N(E_F) values of 1.51, 3.50, 4.64, 5.87 states/eV/cell.